Material: CrSN2O
Method: DFT, PBE with a Hubbard U
State: relaxed

Values from the calculation:
As for the total energy: -5.672 eV/atom. Its space group is P4/mmm (123).

Lattice parameters (Å, degrees): 3.675 3.675 3.527 90.00 90.00 90.00
Each line ends with the local moment (μB).
Fractional coordinates of all 5 atoms:
N1 0.000 0.500 0.000  -0.41
N2 0.500 0.000 0.000  -0.41
O1 0.000 0.000 0.500  -0.07
Cr1 0.500 0.500 0.500  3.79
S1 0.000 0.000 0.000  0.00